Compound: TcW3F
Source: Alexandria via LeMat-Bulk
Functional: GGA+U
Structure: optimized geometry

Results
ρ in g/cm³: 14.5
Spin magnetization in μB per cell: 0.0
SG: Pm-3m, No. 221
Crystal system: cubic
E above lowest polymorph in eV per formula unit: 0.00
Total DFT energy (no corrections) in eV per cell: -27.2

```
5
Lattice="4.250 0.000 0.000 0.000 4.250 0.000 0.000 0.000 4.250" Properties=species:S:1:pos:R:3 pbc="T T T"
Tc 0.000 0.000 0.000
W 0.000 2.125 2.125
W 2.125 0.000 2.125
W 2.125 2.125 0.000
F 2.125 2.125 2.125
```